[1]
The following is a PBE-GGA calculation of a relaxed structure of Y4Ho3Ir4, from the Alexandria database.

The value obtained for the total magnetization is 0.000 μB per cell. As for the crystal system: orthorhombic. The total energy is -164.381 eV for the cell shown. The formation energy is -0.651 eV per atom.

The structure belongs to space group Immm (No. 71); the cell edges are 3.7956, 8.6773 and 16.0106 Å and the angles 90.00°, 90.00° and 90.00°. The distinct sites, in fractional coordinates, are Y at (0.0000, 0.1890, 0.1666), Ho at (0.0000, 0.0000, 0.4002), Ho at (0.0000, 0.5000, 0.5000), Ir at (0.0000, 0.2867, 0.0000) and Ir at (0.0000, 0.5000, 0.2468).

[2]
The following is a PBE-GGA calculation of a relaxed structure of Y2HoIr2, from the Alexandria database.

The value obtained for the total magnetization is 0.000 μB per cell. As for the crystal system: orthorhombic. The total energy is -149.209 eV for the cell shown. The formation energy is -0.415 eV per atom.

The structure belongs to space group Cmcm (No. 63); the cell edges are 6.0003, 14.4644 and 5.5205 Å and the angles 90.00°, 90.00° and 90.00°. The distinct sites, in fractional coordinates, are Y at (0.0000, 0.0804, 0.2500), Y at (0.0000, 0.2817, 0.7500), Ho at (0.0000, 0.5000, 0.0000) and Ir at (0.2388, 0.1227, 0.7500).

[3]
The following is a PBE-GGA calculation of a relaxed structure of YHo2Ir, from the Alexandria database.

The value obtained for the total magnetization is 0.000 μB per cell. Its relative energy among the computed polymorphs is 0.0 meV/atom. As for the crystal system: orthorhombic. The total energy is -107.335 eV for the cell shown. The formation energy is -0.588 eV per atom.

The structure belongs to space group Pnma (No. 62); the cell edges are 7.2315, 9.2308 and 6.3732 Å and the angles 90.00°, 90.00° and 90.00°. The distinct sites, in fractional coordinates, are Y at (0.0330, 0.2500, 0.1286), Ho at (0.1770, 0.0628, 0.6731) and Ir at (0.1157, 0.7500, 0.4508).

[4]
The following is a PBE-GGA calculation of a relaxed structure of Y3HoIr, from the Alexandria database.

The value obtained for the total magnetization is 0.000 μB per cell. Its relative energy among the computed polymorphs is 0.0 meV/atom. As for the crystal system: orthorhombic. The total energy is -68.986 eV for the cell shown. The formation energy is -0.332 eV per atom.

The structure belongs to space group Pmn2_1 (No. 31); the cell edges are 7.6596, 6.5234 and 6.1765 Å and the angles 90.00°, 90.00° and 90.00°. The distinct sites, in fractional coordinates, are Y at (0.0000, 0.1538, 0.0000), Y at (0.2499, 0.3121, 0.5025), Ho at (0.0000, 0.8458, 0.5043) and Ir at (0.0000, 0.5019, 0.2538).

[5]
The following is a PBE-GGA calculation of a relaxed structure of Y3HoIr2, from the Alexandria database.

The value obtained for the total magnetization is 0.000 μB per cell. As for the crystal system: orthorhombic. The total energy is -181.740 eV for the cell shown. The formation energy is -0.624 eV per atom.

The structure belongs to space group Ibam (No. 72); the cell edges are 6.7543, 13.5929 and 7.0794 Å and the angles 90.00°, 90.00° and 90.00°. The distinct sites, in fractional coordinates, are Y at (0.0000, 0.0000, 0.2500), Y at (0.0000, 0.2656, 0.2500), Ho at (0.0000, 0.5000, 0.0000) and Ir at (0.2150, 0.1373, 0.0000).

[6]
The following is a PBE-GGA calculation of a relaxed structure of YHo3Ir4, from the Alexandria database.

The value obtained for the total magnetization is 0.000 μB per cell. As for the crystal system: tetragonal. The total energy is -62.269 eV for the cell shown. The formation energy is -0.828 eV per atom.

The structure belongs to space group P4/mmm (No. 123); the cell edges are 4.9091, 4.9091 and 6.6209 Å and the angles 90.00°, 90.00° and 90.00°. The distinct sites, in fractional coordinates, are Y at (0.0000, 0.0000, 0.0000), Ho at (0.0000, 0.0000, 0.5000), Ho at (0.5000, 0.5000, 0.0000), Ho at (0.5000, 0.5000, 0.5000) and Ir at (0.0000, 0.5000, 0.2517).

[7]
The following is a PBE-GGA calculation of a relaxed structure of Y5HoIr6, from the Alexandria database.

The value obtained for the total magnetization is 0.000 μB per cell. As for the crystal system: orthorhombic. The total energy is -199.176 eV for the cell shown. The formation energy is -0.794 eV per atom.

The structure belongs to space group Cmmm (No. 65); the cell edges are 4.7392, 14.2350 and 7.1720 Å and the angles 90.00°, 90.00° and 90.00°. The distinct sites, in fractional coordinates, are Y at (0.0000, 0.0000, 0.0000), Y at (0.0000, 0.3333, 0.0000), Y at (0.0000, 0.3334, 0.5000), Ho at (0.0000, 0.0000, 0.5000), Ir at (0.0000, 0.1660, 0.2508) and Ir at (0.0000, 0.5000, 0.2518).

[8]
The following is a PBE-GGA calculation of a relaxed structure of Y3HoIr8, from the Alexandria database.

The value obtained for the total magnetization is 0.000 μB per cell. As for the crystal system: trigonal. The total energy is -313.534 eV for the cell shown. The formation energy is -0.804 eV per atom.

The structure belongs to space group R3m (No. 160, hexagonal axes); the cell edges are 5.3641, 5.3641 and 26.2504 Å and the angles 90.00°, 90.00° and 120.00°. The distinct sites, in fractional coordinates, are Y at (0.0000, 0.0000, 0.0000), Y at (0.0000, 0.0000, 0.1250), Y at (0.0000, 0.0000, 0.6248), Ho at (0.0000, 0.0000, 0.4999), Ir at (0.0000, 0.0000, 0.3124), Ir at (0.0000, 0.0000, 0.8125), Ir at (0.0003, 0.5001, 0.0626) and Ir at (0.9999, 0.4999, 0.5623).

[9]
The following is a PBE-GGA calculation of a relaxed structure of Y2HoIr9, from the Alexandria database.

The value obtained for the total magnetization is 0.000 μB per cell. As for the crystal system: trigonal. The total energy is -312.595 eV for the cell shown. The formation energy is -0.579 eV per atom.

The structure belongs to space group R-3m (No. 166, hexagonal axes); the cell edges are 5.3055, 5.3055 and 26.3747 Å and the angles 90.00°, 90.00° and 120.00°. The distinct sites, in fractional coordinates, are Y at (0.0000, 0.0000, 0.1392), Ho at (0.0000, 0.0000, 0.0000), Ir at (0.0000, 0.0000, 0.3327), Ir at (0.0000, 0.0000, 0.5000) and Ir at (0.0010, 0.5005, 0.0819).

[10]
The following is a PBE-GGA calculation of a relaxed structure of YHo4Ir2, from the Alexandria database.

The value obtained for the total magnetization is 0.000 μB per cell. As for the crystal system: monoclinic. The total energy is -92.730 eV for the cell shown. The formation energy is -0.553 eV per atom.

The structure belongs to space group P2_1/m (No. 11); the cell edges are 7.8231, 6.3081 and 7.8700 Å and the angles 90.00°, 112.51° and 90.00°. The distinct sites, in fractional coordinates, are Y at (0.0257, 0.2500, 0.1578), Ho at (0.2375, 0.5025, 0.5842), Ho at (0.3340, 0.7500, 0.2500), Ho at (0.3797, 0.2500, 0.0158), Ir at (0.0147, 0.2500, 0.7400) and Ir at (0.4121, 0.2500, 0.3737).

[11]
The following is a PBE-GGA calculation of a relaxed structure of YHo3Ir, from the Alexandria database.

The value obtained for the total magnetization is 0.001 μB per cell. Its relative energy among the computed polymorphs is 76.7 meV/atom. As for the crystal system: cubic. The total energy is -30.408 eV for the cell shown. The formation energy is -0.270 eV per atom.

The structure belongs to space group Pm-3m (No. 221); the cell edges are 5.4054, 5.4054 and 5.4054 Å and the angles 90.00°, 90.00° and 90.00°. The distinct sites, in fractional coordinates, are Y at (0.0000, 0.0000, 0.0000), Ho at (0.0000, 0.5000, 0.5000) and Ir at (0.5000, 0.5000, 0.5000).